This record from OQMD via LeMat-Bulk describes a geometry-optimized TlBiOs structure. The functional is GGA-PBE.

```
data_TlBiOs
_chemical_formula_sum 'Tl4 Bi4 Os4'
_cell_length_a 6.657
_cell_length_b 6.657
_cell_length_c 6.657
_cell_angle_alpha 90.00
_cell_angle_beta 90.00
_cell_angle_gamma 90.00
_symmetry_space_group_name_H-M 'F -4 3 m'
_symmetry_Int_Tables_number 216
_symmetry_space_group_name_Hall 'F -4 2 3'
loop_
_atom_site_label
_atom_site_fract_x
_atom_site_fract_y
_atom_site_fract_z
_atom_site_occupancy
Tl1 0.000 0.000 0.000 1
Bi1 0.000 0.000 0.500 1
Os1 0.250 0.250 0.750 1
```

Its calculated total energy is -0.3787 Ry per atom. The calculation puts the energy above the most stable polymorph in this dataset at 0.000 eV/atom.